1.
The following is a DFT calculation (GGA-PBEsol) of crystalline NaBC at its relaxed geometry.

Cell and atoms, written as POSCAR:
```
NaBC
1.0
2.809 0.000 0.000
-1.404 2.432 0.000
0.000 0.000 8.307
Na C B
2 2 2
Direct
0.000 0.000 0.000
0.000 0.000 0.500
0.333 0.667 0.750
0.667 0.333 0.250
0.333 0.667 0.250
0.667 0.333 0.750
```

Properties
ρ (g cm⁻³): 2.681
Crystal system: hexagonal
Energy relative to the elements (kcal/mol of atoms): -0.7

***

2.
The following is a DFT calculation (GGA-PBEsol) of crystalline Nb7B6C3 at its relaxed geometry.

Cell and atoms, written as POSCAR:
```
Nb7B6C3
1.0
3.129 0.000 0.000
0.000 3.237 0.000
-1.564 0.000 16.579
Nb B C
7 6 3
Direct
0.709 0.000 0.419
0.291 0.000 0.581
0.567 0.500 0.134
0.433 0.500 0.866
0.131 0.000 0.261
0.869 0.000 0.739
0.000 0.000 0.000
0.652 0.500 0.305
0.348 0.500 0.695
0.763 0.500 0.527
0.237 0.500 0.473
0.182 0.500 0.363
0.818 0.500 0.637
0.066 0.000 0.132
0.500 0.500 0.000
0.934 0.000 0.868
```

Properties
ρ (g cm⁻³): 7.431
Crystal system: orthorhombic
Energy relative to the elements (kcal/mol of atoms): -17.0
DOS at the Fermi energy (states/eV per atom): 0.208

***

3.
The following is a DFT calculation (GGA-PBEsol) of crystalline Nb3B3C at its relaxed geometry.

Cell and atoms, written as POSCAR:
```
Nb3B3C
1.0
3.125 0.000 0.000
0.000 3.251 0.000
0.000 1.626 14.359
Nb B C
6 6 2
Direct
0.250 0.547 0.906
0.750 0.453 0.094
0.250 0.213 0.575
0.750 0.787 0.425
0.750 0.638 0.724
0.250 0.362 0.276
0.250 0.984 0.031
0.750 0.016 0.969
0.250 0.112 0.776
0.750 0.888 0.224
0.250 0.921 0.158
0.750 0.079 0.842
0.250 0.288 0.424
0.750 0.712 0.576
```

Properties
ρ (g cm⁻³): 7.357
Crystal system: orthorhombic
Energy relative to the elements (kcal/mol of atoms): -17.4
DOS at the Fermi energy (states/eV per atom): 0.242

***

4.
The following is a DFT calculation (GGA-PBEsol) of crystalline Nb4B3C2 at its relaxed geometry.

Cell and atoms, written as POSCAR:
```
Nb4B3C2
1.0
3.133 0.000 0.000
0.000 3.230 0.000
0.000 1.615 18.814
Nb B C
8 6 4
Direct
0.250 0.536 0.928
0.750 0.464 0.072
0.750 0.605 0.789
0.250 0.395 0.211
0.750 0.720 0.561
0.250 0.280 0.439
0.250 0.162 0.676
0.750 0.838 0.324
0.250 0.086 0.829
0.750 0.914 0.171
0.250 0.940 0.121
0.750 0.060 0.879
0.250 0.988 0.024
0.750 0.012 0.976
0.750 0.662 0.676
0.250 0.338 0.324
0.750 0.780 0.440
0.250 0.220 0.560
```

Properties
ρ (g cm⁻³): 7.466
Crystal system: orthorhombic
Energy relative to the elements (kcal/mol of atoms): -16.6
DOS at the Fermi energy (states/eV per atom): 0.183

***

5.
The following is a DFT calculation (GGA-PBEsol) of crystalline NbBPdC2 at its relaxed geometry.

Cell and atoms, written as POSCAR:
```
NbBPdC2
1.0
-2.205 0.531 -3.415
1.830 -3.257 -1.687
-3.064 -2.541 1.583
Nb B C Pd
1 1 2 1
Direct
0.000 0.000 0.000
0.000 0.000 0.500
0.000 0.500 0.000
0.500 0.000 0.000
0.500 0.500 0.500
```

Properties
ρ (g cm⁻³): 5.402
Crystal system: tetragonal
Energy relative to the elements (kcal/mol of atoms): 46.6
DOS at the Fermi energy (states/eV per atom): 0.597

***

6.
The following is a DFT calculation (GGA-PBEsol) of crystalline Nd2BC at its relaxed geometry.

Cell and atoms, written as POSCAR:
```
Nd2BC
1.0
-0.441 2.608 2.442
-6.688 0.267 1.160
0.172 -3.533 6.458
C B Nd
2 2 4
Direct
0.873 0.451 0.804
0.127 0.549 0.196
0.076 0.455 0.392
0.924 0.545 0.608
0.793 0.294 0.119
0.207 0.706 0.881
0.440 0.759 0.360
0.560 0.241 0.640
```

Properties
ρ (g cm⁻³): 6.148
Crystal system: monoclinic
Energy relative to the elements (kcal/mol of atoms): -7.3
DOS at the Fermi energy (states/eV per atom): 0.678

***

7.
The following is a DFT calculation (GGA-PBEsol) of crystalline NdNi2B2C at its relaxed geometry.

Cell and atoms, written as POSCAR:
```
NdNi2B2C
1.0
-2.893 1.735 -1.380
-1.602 -3.204 -0.671
0.158 0.835 5.534
Ni C B Nd
2 1 2 1
Direct
0.250 0.750 0.500
0.750 0.250 0.500
0.500 0.500 0.000
0.650 0.650 0.301
0.350 0.350 0.699
0.000 0.000 0.000
```

Properties
ρ (g cm⁻³): 7.426
Crystal system: tetragonal
Energy relative to the elements (kcal/mol of atoms): -11.5
DOS at the Fermi energy (states/eV per atom): 0.399

***

8.
The following is a DFT calculation (GGA-PBEsol) of crystalline NdB2Rh2C at its relaxed geometry.

Cell and atoms, written as POSCAR:
```
NdB2Rh2C
1.0
-2.454 2.691 1.129
-2.863 -2.505 -0.251
3.418 -1.450 4.445
Nd C B Rh
1 1 2 2
Direct
0.000 0.000 0.000
0.500 0.500 0.000
0.353 0.353 0.707
0.647 0.647 0.293
0.750 0.250 0.500
0.250 0.750 0.500
```

Properties
ρ (g cm⁻³): 8.550
Crystal system: tetragonal
Energy relative to the elements (kcal/mol of atoms): -14.1
DOS at the Fermi energy (states/eV per atom): 0.380